# 1
DFT (GGA-PBE) results for a geometry-optimized CaBe2Sn2 structure.

Cell: 4.359 4.359 6.145 Å, 69.22 69.22 90.00°
Sites, in units of the cell vectors:
1 Ca 0.000 0.000 0.000
2 Be 0.399 0.399 0.202
3 Be 0.601 0.601 0.798
4 Sn 0.750 0.250 0.500
5 Sn 0.250 0.750 0.500

Values from the calculation:
Space-group type: I4/mmm (139)
Formation energy from the elements (eV per atom): -0.03

***

# 2
DFT (GGA-PBE) results for a geometry-optimized K2CaAgCl5 structure.

Cell: 4.208 9.353 13.552 Å, 90.00 90.00 103.00°
Sites, in units of the cell vectors:
1 Ag 0.459 0.919 0.449
2 Ag 0.541 0.081 0.949
3 Cl 0.497 0.995 0.775
4 Cl 0.278 0.556 0.657
5 Cl 0.503 0.005 0.275
6 Cl 0.638 0.277 0.500
7 Cl 0.700 0.400 0.887
8 Cl 0.064 0.127 0.055
9 Cl 0.300 0.600 0.387
10 Cl 0.722 0.444 0.157
11 Cl 0.936 0.873 0.555
12 Cl 0.362 0.723 0.000
13 Ca 0.786 0.573 0.520
14 Ca 0.214 0.427 0.020
15 K 0.901 0.801 0.171
16 K 0.129 0.259 0.311
17 K 0.099 0.199 0.671
18 K 0.871 0.741 0.811

Values from the calculation:
Formation energy from raw total energies (kJ/mol of atoms): -171.6
Space-group type: Cmc2_1 (36)

***

# 3
DFT (GGA-PBE) results for a geometry-optimized NdThHg5 structure.

Cell: 5.107 5.107 7.473 Å, 90.00 90.00 90.00°
Sites, in units of the cell vectors:
1 Hg 0.500 0.500 0.500
2 Hg 0.500 0.000 0.237
3 Hg 0.500 0.000 0.763
4 Hg 0.000 0.500 0.763
5 Hg 0.000 0.500 0.237
6 Nd 0.500 0.500 0.000
7 Th 0.000 0.000 0.500

Values from the calculation:
Space-group type: P4/mmm (123)
Formation energy from the elements (eV per atom): -0.19